No. 1
A relaxed structure of NaPmRe2O8. Source: Alexandria via LeMat-Bulk, functional PBE.

a = 6.944 Å, b = 6.944 Å, c = 6.944 Å
α = 134.65°, β = 134.65°, γ = 66.08°
Fractional positions:
1 Na 0.000 0.000 0.000
2 Pm 0.250 0.750 0.500
3 Re 0.500 0.500 0.000
4 Re 0.750 0.250 0.500
5 O 0.274 0.668 0.104
6 O 0.332 0.436 0.606
7 O 0.428 0.012 0.089
8 O 0.564 0.170 0.896
9 O 0.662 0.572 0.585
10 O 0.830 0.726 0.394
11 O 0.923 0.338 0.911
12 O 0.988 0.077 0.415

Summary:
VASP energy in eV per atom: -7.876
Crystal system: tetragonal

No. 2
A relaxed structure of DyCoB2. Source: Alexandria via LeMat-Bulk, functional PBE.

a = 5.066 Å, b = 5.066 Å, c = 5.066 Å
α = 39.90°, β = 39.90°, γ = 39.90°
Fractional positions:
1 Dy 0.000 0.000 0.000
2 Co 0.500 0.500 0.500
3 B 0.194 0.194 0.194
4 B 0.806 0.806 0.806

Summary:
Energy of formation in eV per atom: -0.37
VASP energy in eV per atom: -6.640
Distance to the lowest polymorph of the same formula in meV per atom: 154
Crystal system: trigonal

No. 3
A relaxed structure of Fe2Ge2W. Source: Alexandria via LeMat-Bulk, functional PBE.

a = 6.886 Å, b = 6.886 Å, c = 2.727 Å
α = 90.00°, β = 90.00°, γ = 90.00°
Fractional positions:
1 Fe 0.152 0.348 0.000
2 Fe 0.348 0.848 0.000
3 Fe 0.652 0.152 0.000
4 Fe 0.848 0.652 0.000
5 Ge 0.145 0.645 0.500
6 Ge 0.355 0.145 0.500
7 Ge 0.645 0.855 0.500
8 Ge 0.855 0.355 0.500
9 W 0.000 0.000 0.500
10 W 0.500 0.500 0.500

Summary:
Energy of formation in eV per atom: 0.13
VASP energy in eV per atom: -7.695
Crystal system: tetragonal

No. 4
A relaxed structure of Mn3W. Source: Alexandria via LeMat-Bulk, functional PBE.

a = 4.650 Å, b = 4.650 Å, c = 4.650 Å
α = 90.00°, β = 90.00°, γ = 90.00°
Fractional positions:
1 Mn 0.000 0.250 0.500
2 Mn 0.000 0.750 0.500
3 Mn 0.250 0.500 0.000
4 Mn 0.500 0.000 0.250
5 Mn 0.500 0.000 0.750
6 Mn 0.750 0.500 0.000
7 W 0.000 0.000 0.000
8 W 0.500 0.500 0.500

Summary:
Energy of formation in eV per atom: 0.16
VASP energy in eV per atom: -9.950
Crystal system: cubic

No. 5
A relaxed structure of YGeSeN2. Source: Alexandria via LeMat-Bulk, functional PBE.

a = 4.419 Å, b = 4.419 Å, c = 5.716 Å
α = 90.00°, β = 90.00°, γ = 90.00°
Fractional positions:
1 Y 0.000 0.000 0.000
2 Ge 0.500 0.500 0.500
3 Se 0.000 0.000 0.500
4 N 0.000 0.500 0.000
5 N 0.500 0.000 0.000

Summary:
VASP energy in eV per atom: -5.519
Distance to the lowest polymorph of the same formula in meV per atom: 560
Crystal system: tetragonal

No. 6
A relaxed structure of CaSnPd2. Source: Alexandria via LeMat-Bulk, functional PBE.

a = 9.651 Å, b = 9.651 Å, c = 9.651 Å
α = 152.50°, β = 152.50°, γ = 39.29°
Fractional positions:
1 Ca 0.000 0.000 0.000
2 Ca 0.750 0.250 0.500
3 Sn 0.250 0.750 0.500
4 Sn 0.500 0.500 0.000
5 Pd 0.202 0.625 0.077
6 Pd 0.375 0.452 0.577
7 Pd 0.548 0.125 0.923
8 Pd 0.875 0.798 0.423

Summary:
Energy of formation in eV per atom: -0.29
VASP energy in eV per atom: -4.385
Crystal system: tetragonal

no.,magnetization (μB per atom)
1,0.16
2,0.00
3,0.07
4,0.73
5,0.60
6,0.00